Record 1
VASP calculation (GGA-PBE) on a relaxed structure of CdGeRh4.

Cell: 4.032 4.032 6.506 Å, 89.99 89.99 90.00°
Positions (direct):
1 Cd 0.501 0.497 0.998
2 Ge 0.001 0.997 0.498
3 Rh 0.501 0.997 0.282
4 Rh 0.501 0.998 0.714
5 Rh 0.001 0.497 0.714
6 Rh 0.001 0.497 0.282

## Properties
The formation energy is 135.9 meV/atom. As for the total magnetization: 0.00 μB per atom.

=====

Record 2
VASP calculation (GGA-PBE) on a relaxed structure of CdGe4Rh6.

Cell: 3.681 7.328 7.328 Å, 120.00 90.00 90.00°
Positions (direct):
1 Cd 0.000 0.000 0.000
2 Ge 0.500 0.803 0.606
3 Ge 0.500 0.394 0.197
4 Ge 0.500 0.803 0.197
5 Ge 0.000 0.333 0.667
6 Rh 0.000 0.534 0.068
7 Rh 0.500 0.617 0.809
8 Rh 0.000 0.534 0.466
9 Rh 0.000 0.932 0.466
10 Rh 0.500 0.191 0.809
11 Rh 0.500 0.191 0.383

## Properties
The formation energy is -475.1 meV/atom. As for the total magnetization: 0.00 μB per atom.

=====

Record 3
VASP calculation (GGA-PBE) on a relaxed structure of CdGeRh.

Cell: 3.022 3.022 6.045 Å, 90.00 90.00 90.00°
Positions (direct):
1 Cd 0.000 0.000 0.090
2 Ge 0.000 0.000 0.537
3 Rh 0.500 0.500 0.764

## Properties
The formation energy is -287.7 meV/atom. As for the total magnetization: 0.00 μB per atom.

=====

Record 4
VASP calculation (GGA-PBE) on a relaxed structure of CdGe2Rh2.

Cell: 3.786 3.786 6.580 Å, 73.28 73.28 90.00°
Positions (direct):
1 Ge 0.750 0.250 0.500
2 Ge 0.250 0.750 0.500
3 Rh 0.385 0.385 0.231
4 Rh 0.615 0.615 0.769
5 Cd 0.000 0.000 0.000

## Properties
The formation energy is -280.3 meV/atom. As for the total magnetization: 0.00 μB per atom.

=====

Q: Look up the total magnetization of the second one.
A: 0.00 μB per atom

=====

Q: Which of these has the lowest formation energy?
A: CdGe4Rh6

=====

Repeat the fourth record exactly.
VASP calculation (GGA-PBE) on a relaxed structure of CdGe2Rh2.

Cell: 3.786 3.786 6.580 Å, 73.28 73.28 90.00°
Positions (direct):
1 Ge 0.750 0.250 0.500
2 Ge 0.250 0.750 0.500
3 Rh 0.385 0.385 0.231
4 Rh 0.615 0.615 0.769
5 Cd 0.000 0.000 0.000

## Properties
The formation energy is -280.3 meV/atom. As for the total magnetization: 0.00 μB per atom.